# 1
Entry from Alexandria via LeMat-Bulk: Zr2TcIr after structural relaxation (PBE). Values from VASP.

Results
- Uncorrected energy: -34.7 eV per formula unit
- Space-group type: I-42d (122)
- Calculated formation energy: 0.413 eV per atom
- V: 324.23 Å³ per cell
- N(E_F): 19.36 states/eV per cell
- Size of the total moment: 0.14 μB per atom

Geometry as Quantum ESPRESSO input:
```
&SYSTEM
  ibrav = 0, nat = 16, ntyp = 3
/
ATOMIC_SPECIES
Zr 91.22 Zr.upf
Tc 98.00 Tc.upf
Ir 192.22 Ir.upf
ATOMIC_POSITIONS angstrom
Zr 1.0578 1.0682 2.2200
Zr 1.0682 3.1942 6.6599
Zr 1.0682 3.2149 15.5399
Zr 1.0785 1.0682 11.0999
Zr 3.1942 3.2046 11.0999
Zr 3.2046 1.0578 15.5399
Zr 3.2046 1.0785 6.6599
Zr 3.2149 3.2046 2.2200
Tc 0.0000 0.0000 0.0000
Tc 0.0000 2.1364 4.4400
Tc 2.1364 0.0000 13.3199
Tc 2.1364 2.1364 8.8799
Ir 0.0000 0.0000 8.8799
Ir 0.0000 2.1364 13.3199
Ir 2.1364 0.0000 4.4400
Ir 2.1364 2.1364 0.0000
CELL_PARAMETERS angstrom
4.2727 0.0000 0.0000
0.0000 4.2727 0.0000
0.0000 0.0000 17.7598
```

# 2
Entry from Alexandria via LeMat-Bulk: Zr2TcIr after structural relaxation (PBE). Values from VASP.

Results
- Uncorrected energy: -38.0 eV per formula unit
- Space-group type: Imm2 (44)
- Calculated formation energy: -0.426 eV per atom
- V: 144.40 Å³ per cell
- N(E_F): 7.04 states/eV per cell
- Size of the total moment: 0.00 μB per atom

Geometry as Quantum ESPRESSO input:
```
&SYSTEM
  ibrav = 0, nat = 8, ntyp = 3
/
ATOMIC_SPECIES
Zr 91.22 Zr.upf
Tc 98.00 Tc.upf
Ir 192.22 Ir.upf
ATOMIC_POSITIONS angstrom
Zr 0.0000 0.0000 0.0000
Zr 0.0000 2.2212 2.2681
Zr 1.7033 0.0000 7.0390
Zr 1.7033 2.2212 4.7709
Tc 0.0000 0.0000 4.7330
Tc 1.7033 2.2212 9.5039
Ir 0.0000 2.2212 7.1110
Ir 1.7033 0.0000 2.3401
CELL_PARAMETERS angstrom
3.4066 0.0000 0.0000
0.0000 4.4424 0.0000
0.0000 0.0000 9.5418
```